#a
! CaGa2I4 | the Alexandria database | PBE | relaxed; values from VASP
! Calculated volume, Å³/cell: 303.5
! Space group: I4/mmm (139)
&SYSTEM
  ibrav = 0, nat = 7, ntyp = 3
/
ATOMIC_SPECIES
Ca 40.08 Ca.upf
Ga 69.72 Ga.upf
I 126.90 I.upf
ATOMIC_POSITIONS crystal
Ca 0.000 0.000 0.000
Ga 0.392 0.392 0.000
Ga 0.608 0.608 0.000
I 0.000 0.500 0.500
I 0.202 0.202 0.000
I 0.500 0.000 0.500
I 0.798 0.798 0.000
CELL_PARAMETERS angstrom
-3.167 3.167 7.564
3.167 -3.167 7.564
3.167 3.167 -7.564

#b
! CaGa2I4 | the Alexandria database | PBE | relaxed; values from VASP
! Calculated volume, Å³/cell: 292.0
! Space group: C2/m (12)
&SYSTEM
  ibrav = 0, nat = 7, ntyp = 3
/
ATOMIC_SPECIES
Ca 40.08 Ca.upf
Ga 69.72 Ga.upf
I 126.90 I.upf
ATOMIC_POSITIONS crystal
Ca 0.000 0.000 0.000
Ga 0.271 0.271 0.297
Ga 0.729 0.729 0.703
I 0.121 0.121 0.422
I 0.379 0.379 0.025
I 0.621 0.621 0.975
I 0.879 0.879 0.578
CELL_PARAMETERS angstrom
8.593 -2.283 0.000
8.593 2.283 0.000
-4.044 0.000 7.443

Most favorable first, least favorable last: #b, #a

#a
! CaGaIN2 | the Alexandria database | PBE | relaxed; values from VASP
! Calculated volume, Å³/cell: 96.6
! Space group: P4/mmm (123)
&SYSTEM
  ibrav = 0, nat = 5, ntyp = 4
/
ATOMIC_SPECIES
Ca 40.08 Ca.upf
Ga 69.72 Ga.upf
I 126.90 I.upf
N 14.01 N.upf
ATOMIC_POSITIONS crystal
Ca 0.000 0.000 0.000
Ga 0.500 0.500 0.500
I 0.500 0.500 0.000
N 0.000 0.500 0.500
N 0.500 0.000 0.500
CELL_PARAMETERS angstrom
4.100 0.000 0.000
0.000 4.100 0.000
0.000 0.000 5.746

#b
! CaGaIN2 | the Alexandria database | PBE | relaxed; values from VASP
! Calculated volume, Å³/cell: 147.0
! Space group: P4/mmm (123)
&SYSTEM
  ibrav = 0, nat = 5, ntyp = 4
/
ATOMIC_SPECIES
Ca 40.08 Ca.upf
Ga 69.72 Ga.upf
I 126.90 I.upf
N 14.01 N.upf
ATOMIC_POSITIONS crystal
Ca 0.000 0.000 0.000
Ga 0.500 0.500 0.500
I 0.000 0.000 0.500
N 0.000 0.500 0.000
N 0.500 0.000 0.000
CELL_PARAMETERS angstrom
4.785 0.000 0.000
0.000 4.785 0.000
0.000 0.000 6.420

Most favorable first, least favorable last: #a, #b

#a
! CaGaI2N | the Alexandria database | PBE | relaxed; values from VASP
! Calculated volume, Å³/cell: 183.2
! Space group: P4/mmm (123)
&SYSTEM
  ibrav = 0, nat = 5, ntyp = 4
/
ATOMIC_SPECIES
Ca 40.08 Ca.upf
Ga 69.72 Ga.upf
I 126.90 I.upf
N 14.01 N.upf
ATOMIC_POSITIONS crystal
Ca 0.000 0.000 0.000
Ga 0.500 0.500 0.500
I 0.000 0.500 0.000
I 0.500 0.000 0.000
N 0.000 0.000 0.500
CELL_PARAMETERS angstrom
6.228 0.000 0.000
0.000 6.228 0.000
0.000 0.000 4.722

#b
! CaGaI2N | the Alexandria database | PBE | relaxed; values from VASP
! Calculated volume, Å³/cell: 130.1
! Space group: P4/mmm (123)
&SYSTEM
  ibrav = 0, nat = 5, ntyp = 4
/
ATOMIC_SPECIES
Ca 40.08 Ca.upf
Ga 69.72 Ga.upf
I 126.90 I.upf
N 14.01 N.upf
ATOMIC_POSITIONS crystal
Ca 0.000 0.000 0.000
Ga 0.500 0.500 0.500
I 0.000 0.500 0.500
I 0.500 0.000 0.500
N 0.500 0.500 0.000
CELL_PARAMETERS angstrom
5.951 0.000 0.000
0.000 5.951 0.000
0.000 0.000 3.673

Most favorable first, least favorable last: #b, #a

#a
! CaGaIO2 | the Alexandria database | PBE | relaxed; values from VASP
! Calculated volume, Å³/cell: 130.7
! Space group: P4/mmm (123)
&SYSTEM
  ibrav = 0, nat = 5, ntyp = 4
/
ATOMIC_SPECIES
Ca 40.08 Ca.upf
Ga 69.72 Ga.upf
I 126.90 I.upf
O 16.00 O.upf
ATOMIC_POSITIONS crystal
Ca 0.000 0.000 0.000
Ga 0.500 0.500 0.500
I 0.000 0.000 0.500
O 0.000 0.500 0.000
O 0.500 0.000 0.000
CELL_PARAMETERS angstrom
4.467 0.000 0.000
0.000 4.467 0.000
0.000 0.000 6.549

#b
! CaGaIO2 | the Alexandria database | PBE | relaxed; values from VASP
! Calculated volume, Å³/cell: 91.6
! Space group: P4/mmm (123)
&SYSTEM
  ibrav = 0, nat = 5, ntyp = 4
/
ATOMIC_SPECIES
Ca 40.08 Ca.upf
Ga 69.72 Ga.upf
I 126.90 I.upf
O 16.00 O.upf
ATOMIC_POSITIONS crystal
Ca 0.000 0.000 0.000
Ga 0.500 0.500 0.500
I 0.500 0.500 0.000
O 0.000 0.500 0.500
O 0.500 0.000 0.500
CELL_PARAMETERS angstrom
4.120 0.000 0.000
0.000 4.120 0.000
0.000 0.000 5.396

Most favorable first, least favorable last: #b, #a